Below is a relaxed structure of DyThPt6, with properties calculated at the GGA-PBE level.

- E_tot: -57.07 eV for the cell shown
- DOS(E_F): 2.449 states/eV per cell
- Calculated formation energy: -1100 meV/atom

CIF file:
```
data_DyThPt6
_chemical_formula_sum 'Dy1 Th1 Pt6'
_symmetry_space_group_name_H-M 'P 1'
_symmetry_Int_Tables_number 1
_symmetry_space_group_name_Hall 'P 1'
_cell_length_a 4.184
_cell_length_b 4.184
_cell_length_c 8.328
_cell_angle_alpha 90.00
_cell_angle_beta 90.00
_cell_angle_gamma 90.00
loop_
_atom_site_label
_atom_site_fract_x
_atom_site_fract_y
_atom_site_fract_z
Th1 0.000 0.000 0.500
Pt1 0.000 0.500 0.246
Pt2 0.500 0.500 0.500
Dy1 0.000 0.000 0.000
Pt3 0.500 0.000 0.246
Pt4 0.500 0.500 0.000
Pt5 0.500 0.000 0.754
Pt6 0.000 0.500 0.754
```